! Li4V2OF7 (meta-GGA SCAN, PBEsol geometry); values from VASP
! * V: 10.424 Å³ per atom
! * formation energy (no corrections): -3.034 eV/atom
&SYSTEM
  ibrav = 0, nat = 14, ntyp = 4
/
ATOMIC_SPECIES
Li 6.94 Li.upf
V 50.94 V.upf
O 16.00 O.upf
F 19.00 F.upf
ATOMIC_POSITIONS crystal
Li 0.000 0.000 0.000
Li 0.005 0.005 0.507
Li 0.393 0.393 0.635
Li 0.631 0.631 0.399
V 0.516 0.999 0.995
V 0.999 0.516 0.995
O 0.758 0.758 0.796
F 0.235 0.762 0.257
F 0.247 0.785 0.770
F 0.253 0.253 0.233
F 0.254 0.254 0.763
F 0.761 0.761 0.254
F 0.762 0.235 0.257
F 0.785 0.247 0.770
CELL_PARAMETERS angstrom
5.044 -3.024 0.000
5.044 3.024 0.000
-3.328 0.000 4.783

! ZrHgSbI2 (meta-GGA SCAN, PBEsol geometry); values from VASP
! * V: 33.993 Å³ per atom
! * N(E_F): 3.00 states/eV/cell
! * formation energy (no corrections): 0.749 eV/atom
&SYSTEM
  ibrav = 0, nat = 5, ntyp = 4
/
ATOMIC_SPECIES
Zr 91.22 Zr.upf
Hg 200.59 Hg.upf
Sb 121.76 Sb.upf
I 126.90 I.upf
ATOMIC_POSITIONS crystal
Zr 0.000 0.000 0.000
Hg 0.500 0.500 0.500
Sb 0.500 0.500 0.000
I 0.000 0.500 0.500
I 0.500 0.000 0.500
CELL_PARAMETERS angstrom
5.547 0.000 0.000
0.000 5.547 0.000
0.000 0.000 5.523

! K2Ag4Se3 (meta-GGA SCAN, PBEsol geometry); values from VASP
! * V: 23.951 Å³ per atom
! * N(E_F): 0.20 states/eV/cell
! * formation energy (no corrections): -0.601 eV/atom
&SYSTEM
  ibrav = 0, nat = 18, ntyp = 3
/
ATOMIC_SPECIES
K 39.10 K.upf
Ag 107.87 Ag.upf
Se 78.96 Se.upf
ATOMIC_POSITIONS crystal
K 0.163 0.163 0.337
K 0.314 0.314 0.158
K 0.686 0.686 0.842
K 0.837 0.837 0.663
Ag 0.083 0.083 0.578
Ag 0.086 0.086 0.016
Ag 0.482 0.482 0.871
Ag 0.490 0.490 0.621
Ag 0.510 0.510 0.379
Ag 0.518 0.518 0.129
Ag 0.914 0.914 0.984
Ag 0.917 0.917 0.422
Se 0.034 0.034 0.775
Se 0.338 0.338 0.885
Se 0.352 0.352 0.458
Se 0.648 0.648 0.542
Se 0.662 0.662 0.115
Se 0.966 0.966 0.225
CELL_PARAMETERS angstrom
8.926 -2.176 0.000
8.926 2.176 0.000
-3.672 0.000 11.096